Entry 1:
HgPd4Au2 | Alexandria via LeMat-Bulk | GGA-PBE | relaxed; energy relative to the elements = -18 meV per atom; density = 13.72 g cm⁻³; energy above the most stable polymorph in this dataset = 0 kJ/mol of formula units; DOS at the Fermi energy = 4.8 states/eV per cell
1.0
2.284 -3.969 0.000
2.284 3.969 0.000
0.000 0.000 13.624
Hg Pd Au
2 8 4
direct
0.002 0.998 0.750
0.998 0.002 0.250
0.000 0.000 0.000
0.000 0.000 0.500
0.331 0.669 0.250
0.335 0.665 0.647
0.335 0.665 0.853
0.665 0.335 0.147
0.665 0.335 0.353
0.669 0.331 0.750
0.333 0.667 0.055
0.333 0.667 0.445
0.667 0.333 0.555
0.667 0.333 0.945

Entry 2:
HgPd3Au6 | Alexandria via LeMat-Bulk | GGA-PBE | relaxed; energy relative to the elements = -9 meV per atom; density = 15.49 g cm⁻³; energy above the most stable polymorph in this dataset = 25 kJ/mol of formula units; DOS at the Fermi energy = 7.7 states/eV per cell
1.0
6.125 3.536 2.808
-6.125 3.536 2.808
0.000 -7.072 2.808
Hg Pd Au
2 6 12
direct
0.000 0.000 0.000
0.500 0.500 0.500
0.139 0.267 0.844
0.156 0.861 0.733
0.267 0.844 0.139
0.733 0.156 0.861
0.844 0.139 0.267
0.861 0.733 0.156
0.077 0.474 0.187
0.173 0.476 0.604
0.187 0.077 0.474
0.396 0.827 0.524
0.474 0.187 0.077
0.476 0.604 0.173
0.524 0.396 0.827
0.526 0.813 0.923
0.604 0.173 0.476
0.813 0.923 0.526
0.827 0.524 0.396
0.923 0.526 0.813

Entry 3:
HgPd6Au | Alexandria via LeMat-Bulk | GGA-PBE | relaxed; energy relative to the elements = 20 meV per atom; density = 12.73 g cm⁻³; energy above the most stable polymorph in this dataset = 84 kJ/mol of formula units; DOS at the Fermi energy = 11.4 states/eV per cell
1.0
5.149 0.000 0.000
-0.433 5.132 0.000
-0.422 -0.463 5.115
Hg Pd Au
1 6 1
direct
0.000 0.000 0.000
0.038 0.749 0.466
0.251 0.534 0.962
0.466 0.038 0.749
0.534 0.962 0.251
0.749 0.466 0.038
0.962 0.251 0.534
0.500 0.500 0.500

Entry 4:
HgPdAu4 | Alexandria via LeMat-Bulk | GGA-PBE | relaxed; energy relative to the elements = -29 meV per atom; density = 16.74 g cm⁻³; energy above the most stable polymorph in this dataset = 0 kJ/mol of formula units; DOS at the Fermi energy = 1.6 states/eV per cell
1.0
7.688 -1.490 0.000
7.688 1.490 0.000
-1.631 0.000 4.741
Hg Pd Au
1 1 4
direct
0.000 0.000 0.000
0.500 0.500 0.500
0.166 0.166 0.502
0.333 0.333 0.002
0.667 0.667 0.998
0.834 0.834 0.498

Entry 5:
Hg4PdAu2 | Alexandria via LeMat-Bulk | GGA-PBE | relaxed; energy relative to the elements = 4 meV per atom; density = 13.49 g cm⁻³; DOS at the Fermi energy = 2.5 states/eV per cell
1.0
6.648 -2.218 0.000
6.648 2.218 0.000
-1.800 0.000 5.437
Hg Pd Au
4 1 2
direct
0.057 0.057 0.311
0.334 0.334 0.196
0.666 0.666 0.804
0.943 0.943 0.689
0.500 0.500 0.000
0.292 0.292 0.666
0.708 0.708 0.334

Entry 6:
Hg2Pd4Au | Alexandria via LeMat-Bulk | GGA-PBE | relaxed; energy relative to the elements = 590 meV per atom; density = 10.04 g cm⁻³; energy above the most stable polymorph in this dataset = 427 kJ/mol of formula units; DOS at the Fermi energy = 5.2 states/eV per cell
1.0
-2.498 2.498 6.789
2.498 -2.498 6.789
2.498 2.498 -6.789
Hg Pd Au
2 4 1
direct
0.112 0.112 0.000
0.888 0.888 0.000
0.000 0.500 0.500
0.306 0.306 0.000
0.500 0.000 0.500
0.694 0.694 0.000
0.500 0.500 0.000

Entry 7:
Hg2Pd2Au5 | Alexandria via LeMat-Bulk | GGA-PBE | relaxed; energy relative to the elements = -24 meV per atom; density = 15.33 g cm⁻³; energy above the most stable polymorph in this dataset = 0 kJ/mol of formula units; DOS at the Fermi energy = 3.2 states/eV per cell
1.0
7.247 -2.050 0.000
7.247 2.050 0.000
-0.581 0.000 5.830
Hg Pd Au
2 2 5
direct
0.087 0.087 0.333
0.913 0.913 0.667
0.304 0.304 0.886
0.696 0.696 0.114
0.108 0.108 0.825
0.297 0.297 0.384
0.500 0.500 0.000
0.703 0.703 0.616
0.892 0.892 0.175

Entry 8:
Hg2Pd5Au | Alexandria via LeMat-Bulk | GGA-PBE | relaxed; energy relative to the elements = -95 meV per atom; density = 13.75 g cm⁻³; energy above the most stable polymorph in this dataset = 0 kJ/mol of formula units; DOS at the Fermi energy = 8.9 states/eV per cell
1.0
-2.161 2.161 7.310
2.161 -2.161 7.310
2.161 2.161 -7.310
Hg Pd Au
2 5 1
direct
0.249 0.249 0.000
0.751 0.751 0.000
0.000 0.000 0.000
0.122 0.622 0.500
0.378 0.878 0.500
0.622 0.122 0.500
0.878 0.378 0.500
0.500 0.500 0.000

Entry 9:
Hg2Pd5Au | Alexandria via LeMat-Bulk | GGA-PBE | relaxed; energy relative to the elements = 574 meV per atom; density = 10.31 g cm⁻³; energy above the most stable polymorph in this dataset = 517 kJ/mol of formula units; DOS at the Fermi energy = 10.2 states/eV per cell
1.0
6.084 0.000 0.000
0.000 6.084 0.000
0.000 0.000 4.921
Hg Pd Au
2 5 1
direct
0.000 0.500 0.000
0.500 0.000 0.000
0.000 0.000 0.000
0.293 0.293 0.500
0.293 0.707 0.500
0.707 0.293 0.500
0.707 0.707 0.500
0.000 0.000 0.500

Entry 10:
HgPd4Au5 | Alexandria via LeMat-Bulk | GGA-PBE | relaxed; energy relative to the elements = 40 meV per atom; density = 13.96 g cm⁻³; energy above the most stable polymorph in this dataset = 130 kJ/mol of formula units; DOS at the Fermi energy = 6.2 states/eV per cell
1.0
8.309 0.000 0.000
0.000 9.439 0.000
0.000 0.000 4.886
Hg Pd Au
2 8 10
direct
0.250 0.250 0.041
0.750 0.750 0.959
0.072 0.750 0.588
0.250 0.502 0.749
0.250 0.998 0.749
0.428 0.750 0.588
0.572 0.250 0.412
0.750 0.002 0.251
0.750 0.498 0.251
0.928 0.250 0.412
0.081 0.503 0.251
0.081 0.997 0.251
0.250 0.750 0.080
0.419 0.503 0.251
0.419 0.997 0.251
0.581 0.003 0.749
0.581 0.497 0.749
0.750 0.250 0.920
0.919 0.003 0.749
0.919 0.497 0.749

Entry 11:
Hg3Pd6Au | Alexandria via LeMat-Bulk | GGA-PBE | relaxed; energy relative to the elements = -131 meV per atom; density = 13.82 g cm⁻³; energy above the most stable polymorph in this dataset = 0 kJ/mol of formula units; DOS at the Fermi energy = 8.1 states/eV per cell
1.0
7.742 0.000 0.000
0.000 4.716 0.000
-3.494 0.000 9.461
Hg Pd Au
6 12 2
direct
0.052 0.250 0.384
0.146 0.750 0.218
0.273 0.250 0.985
0.727 0.750 0.015
0.854 0.250 0.782
0.948 0.750 0.616
0.040 0.750 0.920
0.164 0.250 0.685
0.246 0.750 0.522
0.340 0.750 0.820
0.364 0.250 0.282
0.444 0.750 0.125
0.556 0.250 0.875
0.636 0.750 0.718
0.660 0.250 0.180
0.754 0.250 0.478
0.836 0.750 0.315
0.960 0.250 0.080
0.457 0.250 0.579
0.543 0.750 0.421

Entry 12:
Hg2Pd3Au3 | Alexandria via LeMat-Bulk | GGA-PBE | relaxed; energy relative to the elements = -130 meV per atom; density = 15.37 g cm⁻³; energy above the most stable polymorph in this dataset = 0 kJ/mol of formula units; DOS at the Fermi energy = 1.4 states/eV per cell
1.0
4.171 0.000 0.000
0.000 4.318 0.000
0.000 0.000 7.868
Hg Pd Au
2 3 3
direct
0.000 0.000 0.243
0.000 0.000 0.757
0.000 0.500 0.000
0.500 0.000 0.000
0.500 0.000 0.500
0.000 0.500 0.500
0.500 0.500 0.246
0.500 0.500 0.754

Entry 13:
Hg3Pd6Au | Alexandria via LeMat-Bulk | GGA-PBE | relaxed; energy relative to the elements = -9 meV per atom; density = 13.25 g cm⁻³; energy above the most stable polymorph in this dataset = 118 kJ/mol of formula units; DOS at the Fermi energy = 12.0 states/eV per cell
1.0
4.626 -7.818 0.000
4.626 7.818 0.000
0.000 0.000 4.980
Hg Pd Au
6 12 2
direct
0.099 0.901 0.500
0.237 0.432 0.112
0.432 0.237 0.612
0.568 0.763 0.112
0.763 0.568 0.612
0.901 0.099 0.000
0.040 0.466 0.725
0.111 0.215 0.547
0.204 0.796 0.940
0.215 0.111 0.047
0.445 0.555 0.632
0.466 0.040 0.225
0.534 0.960 0.725
0.555 0.445 0.132
0.785 0.889 0.547
0.796 0.204 0.440
0.889 0.785 0.047
0.960 0.534 0.225
0.282 0.718 0.435
0.718 0.282 0.935

Entry 14:
HgPd4Au3 | Alexandria via LeMat-Bulk | GGA-PBE | relaxed; energy relative to the elements = -115 meV per atom; density = 14.79 g cm⁻³; energy above the most stable polymorph in this dataset = 0 kJ/mol of formula units; DOS at the Fermi energy = 3.4 states/eV per cell
1.0
9.243 0.000 0.000
0.000 6.397 0.000
0.000 0.000 4.622
Hg Pd Au
2 8 6
direct
0.000 0.000 0.000
0.500 0.000 0.000
0.000 0.252 0.500
0.000 0.748 0.500
0.250 0.252 0.004
0.250 0.748 0.004
0.500 0.252 0.500
0.500 0.748 0.500
0.750 0.252 0.996
0.750 0.748 0.996
0.000 0.500 0.000
0.250 0.000 0.503
0.250 0.500 0.504
0.500 0.500 0.000
0.750 0.000 0.497
0.750 0.500 0.496

Entry 15:
HgPd12Au6 | Alexandria via LeMat-Bulk | GGA-PBE | relaxed; energy relative to the elements = 44 meV per atom; density = 13.57 g cm⁻³; DOS at the Fermi energy = 29.5 states/eV per cell
1.0
5.506 3.179 3.099
-5.506 3.179 3.099
0.000 -6.357 3.099
Hg Pd Au
1 12 6
direct
0.000 0.000 0.000
0.000 0.261 0.739
0.000 0.739 0.261
0.186 0.589 0.589
0.261 0.000 0.739
0.261 0.739 0.000
0.411 0.411 0.814
0.411 0.814 0.411
0.589 0.186 0.589
0.589 0.589 0.186
0.739 0.000 0.261
0.739 0.261 0.000
0.814 0.411 0.411
0.169 0.169 0.428
0.169 0.428 0.169
0.428 0.169 0.169
0.572 0.831 0.831
0.831 0.572 0.831
0.831 0.831 0.572

Entry 16:
HgPdAu2 | Alexandria via LeMat-Bulk | GGA-PBE | relaxed; energy relative to the elements = -72 meV per atom; density = 16.12 g cm⁻³; DOS at the Fermi energy = 1.0 states/eV per cell
1.0
-2.084 2.107 4.110
2.084 -2.107 4.110
2.084 2.107 -4.110
Hg Pd Au
1 1 2
direct
0.000 0.000 0.000
0.750 0.250 0.500
0.250 0.750 0.500
0.500 0.500 0.000

Entry 17:
Hg2Pd4Au | Alexandria via LeMat-Bulk | GGA-PBE | relaxed; energy relative to the elements = -43 meV per atom; density = 13.45 g cm⁻³; energy above the most stable polymorph in this dataset = 0 kJ/mol of formula units; DOS at the Fermi energy = 10.0 states/eV per cell
1.0
6.967 0.000 0.000
0.000 5.651 0.000
-2.957 0.000 6.419
Hg Pd Au
4 8 2
direct
0.072 0.250 0.344
0.276 0.750 0.074
0.724 0.250 0.926
0.928 0.750 0.656
0.060 0.750 0.336
0.324 0.503 0.734
0.324 0.997 0.734
0.498 0.750 0.504
0.502 0.250 0.496
0.676 0.003 0.266
0.676 0.497 0.266
0.940 0.250 0.664
0.276 0.250 0.058
0.724 0.750 0.942

Entry 18:
HgPdAu4 | Alexandria via LeMat-Bulk | GGA-PBE | relaxed; energy relative to the elements = 113 meV per atom; density = 15.55 g cm⁻³; energy above the most stable polymorph in this dataset = 82 kJ/mol of formula units; DOS at the Fermi energy = 1.6 states/eV per cell
1.0
0.000 3.881 3.881
3.881 0.000 3.881
3.881 3.881 0.000
Hg Pd Au
1 1 4
direct
0.000 0.000 0.000
0.250 0.250 0.250
0.125 0.625 0.625
0.625 0.125 0.625
0.625 0.625 0.125
0.625 0.625 0.625

Entry 19:
HgPd2Au6 | Alexandria via LeMat-Bulk | GGA-PBE | relaxed; energy relative to the elements = -16 meV per atom; density = 16.32 g cm⁻³; energy above the most stable polymorph in this dataset = 0 kJ/mol of formula units; DOS at the Fermi energy = 5.7 states/eV per cell
1.0
5.255 -5.032 0.000
5.255 5.032 0.000
-4.515 0.000 6.137
Hg Pd Au
2 4 12
direct
0.144 0.856 0.750
0.856 0.144 0.250
0.213 0.446 0.581
0.446 0.213 0.081
0.554 0.787 0.919
0.787 0.554 0.419
0.005 0.769 0.302
0.095 0.354 0.142
0.231 0.995 0.198
0.324 0.572 0.026
0.354 0.095 0.642
0.428 0.676 0.474
0.572 0.324 0.526
0.646 0.905 0.358
0.676 0.428 0.974
0.769 0.005 0.802
0.905 0.646 0.858
0.995 0.231 0.698

Entry 20:
HgPd3Au3 | Alexandria via LeMat-Bulk | GGA-PBE | relaxed; energy relative to the elements = -40 meV per atom; density = 14.32 g cm⁻³; DOS at the Fermi energy = 3.1 states/eV per cell
1.0
4.596 -4.617 0.000
4.596 4.617 0.000
0.000 0.000 6.071
Hg Pd Au
2 6 6
direct
0.228 0.228 0.001
0.772 0.772 0.999
0.001 0.499 0.749
0.499 0.001 0.749
0.500 0.500 0.258
0.500 0.500 0.742
0.501 0.999 0.251
0.999 0.501 0.251
0.227 0.227 0.499
0.229 0.771 0.500
0.240 0.760 0.000
0.760 0.240 0.000
0.771 0.229 0.500
0.773 0.773 0.501